Material: Li4Al2InAg
Method: DFT, PBE-GGA
State: optimized geometry

a b c (Å): 4.4920 4.4920 6.4411
angles (deg): 90.00 90.00 90.00
Closest atoms and distances in Å follow each position.
Element x y z (fractional)
Al: 0.5000 0.0000 0.7678  2 Ag 2.70, 5 Li 2.70-3.02, 2 In 2.83
Al: 0.0000 0.5000 0.2322  2 Ag 2.70, 5 Li 2.70-3.02, 2 In 2.83
In: 0.0000 0.0000 0.5000  4 Li 2.81, 4 Al 2.83
Li: 0.0000 0.0000 0.0000  4 Al 2.70, 4 Li 2.72
Li: 0.5000 0.5000 0.5000  4 Li 2.81, 4 Al 2.83
Li: 0.0000 0.5000 0.7630  4 Li 2.72-2.81, 2 Ag 2.72, 2 In 2.81, 1 Al 3.02
Li: 0.5000 0.0000 0.2370  4 Li 2.72-2.81, 2 Ag 2.72, 2 In 2.81, 1 Al 3.02
Ag: 0.5000 0.5000 0.0000  4 Al 2.70, 4 Li 2.72

Calculated values
Electronic total energy (eV per atom): -2.8439

Material: Li2Y2AlInAg2
Method: DFT, PBE-GGA
State: optimized geometry

a b c (Å): 4.8164 4.8164 6.8177
angles (deg): 90.00 90.00 90.00
Closest atoms and distances in Å follow each position.
Element x y z (fractional)
Ag: 0.0000 0.5000 0.7357  2 Al 2.90, 4 Y 2.90-3.01, 2 In 3.01
Ag: 0.5000 0.0000 0.2643  2 Al 2.90, 4 Y 2.90-3.01, 2 In 3.01
Li: 0.5000 0.0000 0.7422  2 Al 2.92, 4 Y 2.92-2.98, 2 In 2.98, 1 Ag 3.26
Li: 0.0000 0.5000 0.2578  2 Al 2.92, 4 Y 2.92-2.98, 2 In 2.98, 1 Ag 3.26
In: 0.0000 0.0000 0.0000  4 Li 2.98, 4 Ag 3.01
Y: 0.0000 0.0000 0.5000  4 Ag 2.90, 4 Li 2.92
Y: 0.5000 0.5000 0.0000  4 Li 2.98, 4 Ag 3.01
Al: 0.5000 0.5000 0.5000  4 Ag 2.90, 4 Li 2.92

Calculated values
Electronic total energy (eV per atom): -3.9802

Material: Na2Sc2AlInAg2
Method: DFT, PBE-GGA
State: optimized geometry

a b c (Å): 4.8010 4.8010 6.8098
angles (deg): 90.00 90.00 90.00
Closest atoms and distances in Å follow each position.
Element x y z (fractional)
Ag: 0.0000 0.5000 0.2362  4 Sc 2.89-3.00, 2 Al 2.89, 2 In 3.00
Ag: 0.5000 0.0000 0.7638  2 Al 2.89, 4 Sc 2.89-3.00, 2 In 3.00
Na: 0.0000 0.5000 0.7566  2 Al 2.92, 4 Sc 2.92-2.97, 2 In 2.97, 1 Ag 3.27
Na: 0.5000 0.0000 0.2434  4 Sc 2.92-2.97, 2 Al 2.92, 2 In 2.97, 1 Ag 3.27
In: 0.5000 0.5000 0.5000  4 Na 2.97, 4 Ag 3.00
Sc: 0.0000 0.0000 0.5000  4 Na 2.97, 4 Ag 3.00
Sc: 0.5000 0.5000 0.0000  4 Ag 2.89, 4 Na 2.92
Al: 0.0000 0.0000 0.0000  4 Ag 2.89, 4 Na 2.92

Calculated values
Electronic total energy (eV per atom): -3.5176

Material: AlInAg2O4
Method: DFT, PBE-GGA
State: optimized geometry

a b c (Å): 3.0704 3.0704 12.6581
angles (deg): 90.00 90.00 120.00
Closest atoms and distances in Å follow each position.
Element x y z (fractional)
Ag: 0.6667 0.3333 0.7388  2 O 2.10-2.11
Ag: 0.3333 0.6667 0.2612  2 O 2.10-2.11
O: 0.3333 0.6667 0.4281  3 Al 1.99, 1 Ag 2.11
O: 0.6667 0.3333 0.5719  3 Al 1.99, 1 Ag 2.11
O: 0.6667 0.3333 0.9047  1 Ag 2.10, 3 In 2.14
O: 0.3333 0.6667 0.0953  1 Ag 2.10, 3 In 2.14
In: 0.0000 0.0000 0.0000  6 O 2.14
Al: 0.0000 0.0000 0.5000  6 O 1.99

Calculated values
Electronic total energy (eV per atom): -5.4035

Material: AlAgIr2
Method: DFT, PBE-GGA
State: optimized geometry

a b c (Å): 4.4249 4.4249 4.4249
angles (deg): 60.00 60.00 60.00
Closest atoms and distances in Å follow each position.
Element x y z (fractional)
Ir: 0.0000 0.0000 0.0000  4 Ir 2.71, 4 Ag 2.71
Ir: 0.7500 0.7500 0.7500  4 Ir 2.71, 4 Al 2.71
Ag: 0.2500 0.2500 0.2500  4 Al 2.71, 4 Ir 2.71
Al: 0.5000 0.5000 0.5000  4 Ag 2.71, 4 Ir 2.71

Calculated values
Electronic total energy (eV per atom): -5.9809

Material: LaAl5AgIr
Method: DFT, PBE-GGA
State: optimized geometry

a b c (Å): 6.5515 6.5515 6.5515
angles (deg): 143.18 111.75 80.15
Closest atoms and distances in Å follow each position.
Element x y z (fractional)
Al: 0.6673 0.3476 0.3197  1 Ag 2.55, 2 Ir 2.60, 1 Al 2.65
Al: 0.0013 0.0013 0.0000  1 Ir 2.40, 1 Ag 2.49
Al: 0.3423 0.6442 0.6982  1 Ir 2.51, 2 Ag 2.74
Al: 0.0279 0.3476 0.6803  1 Ag 2.55, 2 Ir 2.60, 1 Al 2.65
Al: 0.9460 0.6442 0.3018  1 Ir 2.51, 2 Ag 2.74
Ag: 0.2498 0.2498 0.0000  7 Al 2.49-2.74
La: 0.5040 0.0040 0.5000  2 Ag 3.28, 2 Ir 3.31, 10 Al 3.34-3.68
Ir: 0.7614 0.7614 0.0000  7 Al 2.40-2.60

Calculated values
Electronic total energy (eV per atom): -4.9461